# PBEsol LiSc4Cr, optimized geometry
data_LiSc4Cr
_chemical_formula_sum 'Li4 Sc16 Cr4'
_symmetry_space_group_name_H-M 'F -4 3 m'
_symmetry_Int_Tables_number 216
_symmetry_space_group_name_Hall 'F -4 2 3'
_cell_length_a 8.1914
_cell_length_b 8.1914
_cell_length_c 8.1914
_cell_angle_alpha 90.00
_cell_angle_beta 90.00
_cell_angle_gamma 90.00
loop_
_atom_site_label
_atom_site_type_symbol
_atom_site_fract_x
_atom_site_fract_y
_atom_site_fract_z
Li1 Li 0.0000 0.0000 0.0000
Sc1 Sc 0.1235 0.1235 0.6235
Cr1 Cr 0.2500 0.2500 0.2500
# Electronic total energy   -5.795 eV per atom
# Formation enthalpy at 0 K   0.644 eV/atom